(1)
This record from Alexandria via LeMat-Bulk describes a relaxed structure of CePrNdGd. The functional is GGA-PBE.

Lattice parameters (Å, degrees): 5.784 5.784 5.784 60.00 60.00 60.00
Fractional positions:
Pr 0.750 0.750 0.750
Gd 0.250 0.250 0.250
Nd 0.500 0.500 0.500
Ce 0.000 0.000 0.000

Properties
DFT formation energy, eV/atom: 0.1866
Density, kg/m3: 7071

(2)
This record from Alexandria via LeMat-Bulk describes a relaxed structure of Tm4Ir2O. The functional is GGA-PBE.

Lattice parameters (Å, degrees): 4.432 4.432 7.987 106.11 106.11 90.00
Fractional positions:
Ir 0.632 0.632 0.263
Ir 0.368 0.368 0.737
Tm 0.818 0.818 0.637
Tm 0.182 0.182 0.363
Tm 0.000 0.500 0.000
Tm 0.500 0.000 0.000
O 0.000 0.000 0.000

Properties
Density, kg/m3: 12383
Energy relative to the elements, uncorrected, eV/f.u.: -9.521

(3)
This record from Alexandria via LeMat-Bulk describes a relaxed structure of Pm2Y12Tm. The functional is GGA-PBE.

Lattice parameters (Å, degrees): 6.707 6.707 24.820 90.00 90.00 63.70
Fractional positions:
Pm 0.500 0.000 0.269
Pm 0.000 0.500 0.265
Pm 0.000 0.500 0.731
Pm 0.500 0.000 0.735
Y 0.500 0.500 0.802
Y 0.000 0.000 0.802
Y 0.750 0.750 0.874
Y 0.250 0.750 0.924
Y 0.000 0.000 0.327
Y 0.250 0.750 0.076
Y 0.764 0.264 0.561
Y 0.500 0.500 0.327
Y 0.250 0.250 0.874
Y 0.750 0.750 0.126
Y 0.261 0.239 0.585
Y 0.736 0.236 0.439
Y 0.000 0.000 0.673
Y 0.239 0.261 0.415
Y 0.250 0.250 0.126
Y 0.761 0.739 0.415
Y 0.739 0.761 0.585
Y 0.000 0.000 0.198
Y 0.236 0.736 0.561
Y 0.500 0.500 0.673
Y 0.750 0.250 0.924
Y 0.500 0.500 0.198
Y 0.264 0.764 0.439
Y 0.750 0.250 0.076
Tm 0.500 0.000 0.000
Tm 0.000 0.500 0.000

Properties
DFT formation energy, eV/atom: 0.1689
Density, kg/m3: 5063

(4)
This record from Alexandria via LeMat-Bulk describes a relaxed structure of AlTe2W. The functional is GGA-PBE.

Lattice parameters (Å, degrees): 3.338 3.338 7.713 90.00 90.00 90.00
Fractional positions:
Te 0.000 0.000 0.034
Te 0.000 0.000 0.466
Al 0.500 0.500 0.750
W 0.500 0.500 0.250

Properties
Density, kg/m3: 9005
Energy relative to the elements, uncorrected, eV/f.u.: 1.549

(5)
This record from Alexandria via LeMat-Bulk describes a relaxed structure of SnHO2F. The functional is GGA-PBE.

Lattice parameters (Å, degrees): 4.007 4.007 4.205 90.00 90.00 90.00
Fractional positions:
H 0.500 0.500 0.500
Sn 0.000 0.000 0.000
O 0.000 0.500 0.000
O 0.500 0.000 0.000
F 0.000 0.000 0.500

Properties
Density, kg/m3: 4199
Electronic total energy, eV per atom: -4.3842

(6)
This record from Alexandria via LeMat-Bulk describes a relaxed structure of CaTbIrAu. The functional is GGA-PBE.

Lattice parameters (Å, degrees): 4.967 4.967 4.967 60.00 60.00 60.00
Fractional positions:
Tb 0.250 0.250 0.250
Ca 0.750 0.750 0.750
Ir 0.000 0.000 0.000
Au 0.500 0.500 0.500

Properties
DFT formation energy, eV/atom: -0.6566
Density, kg/m3: 11271

(7)
This record from Alexandria via LeMat-Bulk describes a relaxed structure of Pr3GaCu. The functional is GGA-PBE.

Lattice parameters (Å, degrees): 3.506 8.888 9.361 90.00 90.00 113.21
Fractional positions:
Pr 0.691 0.691 0.565
Pr 0.309 0.309 0.435
Pr 0.309 0.309 0.065
Pr 0.691 0.691 0.935
Pr 0.895 0.895 0.250
Pr 0.105 0.105 0.750
Ga 0.065 0.565 0.250
Ga 0.935 0.435 0.750
Cu 0.500 0.000 0.000
Cu 0.500 0.000 0.500

Properties
DFT formation energy, eV/atom: -0.2045
Density, kg/m3: 6887

(8)
This record from Alexandria via LeMat-Bulk describes a relaxed structure of NaGa2Au6. The functional is GGA-PBE.

Lattice parameters (Å, degrees): 5.505 5.920 5.920 69.27 82.49 82.49
Fractional positions:
Na 0.000 0.000 0.000
Ga 0.161 0.598 0.598
Ga 0.839 0.402 0.402
Au 0.242 0.063 0.489
Au 0.758 0.937 0.511
Au 0.758 0.511 0.937
Au 0.500 0.777 0.223
Au 0.500 0.223 0.777
Au 0.242 0.489 0.063

Properties
DFT formation energy, eV/atom: -0.1651
Density, kg/m3: 12529
Offset from the most stable computed form, meV/atom: 0

(9)
This record from Alexandria via LeMat-Bulk describes a relaxed structure of NaDyTlGe. The functional is GGA-PBE.

Lattice parameters (Å, degrees): 5.183 5.183 5.183 60.00 60.00 60.00
Fractional positions:
Na 0.750 0.750 0.750
Tl 0.500 0.500 0.500
Ge 0.000 0.000 0.000
Dy 0.250 0.250 0.250

Properties
DFT formation energy, eV/atom: -0.2280
Density, kg/m3: 7799

(10)
This record from Alexandria via LeMat-Bulk describes a relaxed structure of Li2SmAlH8. The functional is GGA-PBE.

Lattice parameters (Å, degrees): 4.385 4.347 6.050 65.87 87.48 85.88
Fractional positions:
Li 0.486 0.345 0.758
Li 0.514 0.655 0.242
Sm 0.000 0.000 0.500
Al 0.000 0.000 0.000
H 0.974 0.631 0.285
H 0.713 0.906 0.864
H 0.765 0.211 0.130
H 0.026 0.369 0.715
H 0.287 0.094 0.136
H 0.235 0.789 0.870
H 0.514 0.759 0.522
H 0.486 0.241 0.478

Properties
Density, kg/m3: 3153
Electronic total energy, eV per atom: -3.5472

(11)
This record from Alexandria via LeMat-Bulk describes a relaxed structure of K3BaNb. The functional is GGA-PBE.

Lattice parameters (Å, degrees): 6.810 6.810 6.810 90.00 90.00 90.00
Fractional positions:
K 0.000 0.500 0.000
K 0.000 0.000 0.500
K 0.500 0.000 0.000
Nb 0.000 0.000 0.000
Ba 0.500 0.500 0.500

Properties
DFT formation energy, eV/atom: 1.0719
Density, kg/m3: 1827
Offset from the most stable computed form, meV/atom: 0

(12)
This record from Alexandria via LeMat-Bulk describes a relaxed structure of Ac4LaPr. The functional is GGA-PBE.

Lattice parameters (Å, degrees): 7.215 7.215 7.215 60.00 60.00 60.00
Fractional positions:
Pr 0.250 0.250 0.250
Ac 0.625 0.625 0.126
Ac 0.625 0.126 0.625
Ac 0.625 0.625 0.625
Ac 0.126 0.625 0.625
La 0.000 0.000 0.000

Properties
DFT formation energy, eV/atom: 0.2908
Density, kg/m3: 7428
Offset from the most stable computed form, meV/atom: 36

(13)
This record from Alexandria via LeMat-Bulk describes a relaxed structure of YTlZn. The functional is GGA-PBE.

Lattice parameters (Å, degrees): 6.471 4.725 9.420 90.00 90.00 90.00
Fractional positions:
Y 0.345 0.250 0.406
Y 0.155 0.750 0.906
Y 0.655 0.750 0.594
Y 0.845 0.250 0.094
Tl 0.853 0.250 0.420
Tl 0.647 0.750 0.920
Tl 0.147 0.750 0.580
Tl 0.353 0.250 0.080
Zn 0.928 0.250 0.749
Zn 0.572 0.750 0.249
Zn 0.072 0.750 0.251
Zn 0.428 0.250 0.751

Properties
DFT formation energy, eV/atom: -0.2130
Density, kg/m3: 8273

(14)
This record from Alexandria via LeMat-Bulk describes a relaxed structure of La2Nd6Zn. The functional is GGA-PBE.

Lattice parameters (Å, degrees): 3.612 9.761 10.087 118.94 90.37 90.00
Fractional positions:
La 0.493 0.670 0.340
La 0.507 0.330 0.660
Nd 0.001 0.333 0.326
Nd 0.999 0.007 0.674
Nd 0.999 0.667 0.674
Nd 0.500 0.272 0.000
Nd 0.001 0.993 0.326
Nd 0.500 0.728 0.000
Zn 0.000 0.000 0.000

Properties
DFT formation energy, eV/atom: 0.0887
Density, kg/m3: 6449
Offset from the most stable computed form, meV/atom: 121

(15)
This record from Alexandria via LeMat-Bulk describes a relaxed structure of CaTaSe2. The functional is GGA-PBE.

Lattice parameters (Å, degrees): 4.393 4.393 6.793 76.27 76.27 47.86
Fractional positions:
Ca 0.213 0.213 0.260
Se 0.973 0.973 0.987
Se 0.819 0.819 0.559
Ta 0.494 0.494 0.693

Properties
Density, kg/m3: 6704
Offset from the most stable computed form, meV/atom: 89
Energy relative to the elements, uncorrected, eV/f.u.: -3.125

(16)
This record from Alexandria via LeMat-Bulk describes a relaxed structure of SrZrN2O. The functional is GGA-PBE.

Lattice parameters (Å, degrees): 4.279 4.279 4.247 90.00 90.00 90.00
Fractional positions:
Sr 0.500 0.500 0.500
O 0.000 0.000 0.500
Zr 0.000 0.000 0.000
N 0.000 0.500 0.000
N 0.500 0.000 0.000

Properties
Density, kg/m3: 4759
Energy relative to the elements, uncorrected, eV/f.u.: -5.928

(17)
This record from Alexandria via LeMat-Bulk describes a relaxed structure of CuPBr2. The functional is GGA-PBE.

Lattice parameters (Å, degrees): 8.347 8.347 8.347 154.62 154.62 36.20
Fractional positions:
Br 0.000 0.000 0.000
Br 0.250 0.750 0.500
Cu 0.500 0.500 0.000
P 0.750 0.250 0.500

Properties
Density, kg/m3: 3958
Offset from the most stable computed form, meV/atom: 602
Energy relative to the elements, uncorrected, eV/f.u.: 1.827

(18)
This record from Alexandria via LeMat-Bulk describes a relaxed structure of Tm10Hg3Pb3. The functional is GGA-PBE.

Lattice parameters (Å, degrees): 6.590 8.824 8.824 120.00 90.00 90.00
Fractional positions:
Tm 0.242 0.667 0.333
Tm 0.242 0.333 0.667
Tm 0.758 0.333 0.667
Tm 0.758 0.667 0.333
Tm 0.500 0.000 0.763
Tm 0.500 0.763 0.000
Tm 0.500 0.237 0.237
Tm 0.000 0.000 0.239
Tm 0.000 0.239 0.000
Tm 0.000 0.761 0.761
Hg 0.000 0.000 0.604
Hg 0.000 0.604 0.000
Hg 0.000 0.396 0.396
Pb 0.500 0.000 0.400
Pb 0.500 0.400 0.000
Pb 0.500 0.600 0.600

Properties
DFT formation energy, eV/atom: -0.3985
Density, kg/m3: 10884

(19)
This record from Alexandria via LeMat-Bulk describes a relaxed structure of Pr6Te3Ir2Br. The functional is GGA-PBE.

Lattice parameters (Å, degrees): 4.297 9.151 10.010 105.15 102.39 90.00
Fractional positions:
Pr 0.323 0.869 0.647
Pr 0.676 0.565 0.351
Pr 0.677 0.131 0.353
Pr 0.020 0.267 0.040
Pr 0.980 0.733 0.960
Pr 0.324 0.435 0.649
Te 0.500 0.500 0.000
Te 0.845 0.156 0.690
Te 0.155 0.844 0.310
Ir 0.831 0.661 0.661
Ir 0.169 0.339 0.339
Br 0.500 0.000 0.000

Properties
Density, kg/m3: 7588
Energy relative to the elements, uncorrected, eV/f.u.: -13.885

(20)
This record from Alexandria via LeMat-Bulk describes a relaxed structure of Be5Re3. The functional is GGA-PBE.

Lattice parameters (Å, degrees): 5.326 5.326 3.113 90.00 90.00 89.86
Fractional positions:
Be 0.000 0.000 0.000
Be 0.500 0.000 0.000
Be 0.000 0.500 0.000
Be 0.751 0.249 0.500
Be 0.249 0.751 0.500
Re 0.500 0.500 0.000
Re 0.777 0.777 0.500
Re 0.223 0.223 0.500

Properties
DFT formation energy, eV/atom: -0.0043
Density, kg/m3: 11351
Offset from the most stable computed form, meV/atom: 0